[1]
Compound: YCuRh4
Source: Alexandria
Functional: PBE-GGA
Structure: relaxed

Formation enthalpy at 0 K: -0.2274 eV/atom
Total magnetization: 0.04 μB/cell
Space-group type: F-43m (216)
DOS at the Fermi energy: 10.17 states/eV/cell
E_tot: -6.888 eV per atom

abc: 5.2190 5.2190 5.2190
angles: 60.00 60.00 60.00
Closest atoms and distances in Å follow each position.
Atoms (fractional coordinates):
Y 0.0000 0.0000 0.0000  12 Rh 3.06, 4 Cu 3.20
Cu 0.7500 0.7500 0.7500  12 Rh 3.06, 4 Y 3.20
Rh 0.3756 0.3756 0.3756  6 Rh 2.60-2.62
Rh 0.3756 0.3756 0.8733  6 Rh 2.60-2.62
Rh 0.3756 0.8733 0.3756  6 Rh 2.60-2.62
Rh 0.8733 0.3756 0.3756  6 Rh 2.60-2.62

[2]
Compound: YCu2Rh
Source: Alexandria
Functional: PBE-GGA
Structure: relaxed

Formation enthalpy at 0 K: -0.3257 eV/atom
Total magnetization: 0.00 μB/cell
Space-group type: P4/mmm (123)
DOS at the Fermi energy: 1.13 states/eV/cell
Energy above the most stable polymorph in this dataset: 20 meV per atom
E_tot: -5.828 eV per atom

abc: 3.9761 3.9761 4.1096
angles: 90.00 90.00 90.00
Closest atoms and distances in Å follow each position.
Atoms (fractional coordinates):
Y 0.0000 0.0000 0.0000  4 Rh 2.81, 8 Cu 2.86
Cu 0.0000 0.5000 0.5000  4 Cu 2.81, 4 Rh 2.86, 4 Y 2.86
Cu 0.5000 0.0000 0.5000  4 Cu 2.81, 4 Rh 2.86, 4 Y 2.86
Rh 0.5000 0.5000 0.0000  4 Y 2.81, 8 Cu 2.86

[3]
Compound: YCu2Rh
Source: Alexandria
Functional: PBE-GGA
Structure: relaxed

Formation enthalpy at 0 K: -0.0888 eV/atom
Total magnetization: 0.00 μB/cell
Space-group type: I-42d (122)
DOS at the Fermi energy: 2.35 states/eV/cell
Energy above the most stable polymorph in this dataset: 257 meV per atom
E_tot: -5.591 eV per atom

abc: 9.7719 9.7719 9.7719
angles: 156.66 156.66 33.25
Closest atoms and distances in Å follow each position.
Atoms (fractional coordinates):
Y 0.0000 0.0000 0.0000  4 Rh 2.80, 4 Cu 2.87
Y 0.7500 0.2500 0.5000  4 Rh 2.80, 4 Cu 2.87
Cu 0.2108 0.6250 0.0858  2 Cu 2.37, 2 Rh 2.62
Cu 0.3750 0.4608 0.5858  2 Cu 2.37, 2 Rh 2.62
Cu 0.5392 0.1250 0.9142  2 Cu 2.37, 2 Rh 2.62
Cu 0.8750 0.7892 0.4142  2 Cu 2.37, 2 Rh 2.62
Rh 0.2500 0.7500 0.5000  4 Cu 2.62, 4 Y 2.80
Rh 0.5000 0.5000 0.0000  4 Cu 2.62, 4 Y 2.80

[4]
Compound: Y3CuRh8
Source: Alexandria
Functional: PBE-GGA
Structure: relaxed

Formation enthalpy at 0 K: -0.5159 eV/atom
Total magnetization: 0.00 μB/cell
Space-group type: R3m (160)
DOS at the Fermi energy: 7.35 states/eV/cell
E_tot: -7.374 eV per atom

abc: 9.1844 9.1844 9.1844
angles: 33.48 33.48 33.48
Closest atoms and distances in Å follow each position.
Atoms (fractional coordinates):
Y 0.0000 0.0000 0.0000  12 Rh 2.97-3.17, 3 Cu 3.12
Y 0.1303 0.1303 0.1303  12 Rh 3.10-3.13, 4 Y 3.35-3.39
Y 0.5162 0.5162 0.5162  9 Rh 2.98-3.16, 1 Cu 3.27
Cu 0.6420 0.6420 0.6420  6 Rh 2.84-3.06, 3 Y 3.12
Rh 0.0673 0.5676 0.5676  6 Rh 2.64-2.66, 1 Cu 2.84
Rh 0.0694 0.0694 0.5678  6 Rh 2.62-2.67
Rh 0.0694 0.5678 0.0694  6 Rh 2.62-2.67
Rh 0.3178 0.3178 0.3178  6 Rh 2.62-2.65
Rh 0.5676 0.0673 0.5676  6 Rh 2.64-2.66, 1 Cu 2.84
Rh 0.5678 0.0694 0.0694  6 Rh 2.62-2.67
Rh 0.5676 0.5676 0.0673  6 Rh 2.64-2.66, 1 Cu 2.84
Rh 0.8181 0.8181 0.8181  6 Rh 2.66-2.67

[5]
Compound: Y3Cu2Rh7
Source: Alexandria
Functional: PBE-GGA
Structure: relaxed

Formation enthalpy at 0 K: -0.5508 eV/atom
Total magnetization: 0.00 μB/cell
Space-group type: R-3m (166)
DOS at the Fermi energy: 7.42 states/eV/cell
E_tot: -7.138 eV per atom

abc: 9.0122 9.0122 9.0122
angles: 34.25 34.25 34.25
Closest atoms and distances in Å follow each position.
Atoms (fractional coordinates):
Y 0.0000 0.0000 0.0000  6 Cu 3.06, 12 Rh 3.38
Y 0.1403 0.1403 0.1403  12 Rh 3.04-3.20, 3 Y 3.34
Y 0.8597 0.8597 0.8597  12 Rh 3.04-3.20, 3 Y 3.34
Cu 0.3339 0.3339 0.3339  6 Rh 2.59-2.60
Cu 0.6661 0.6661 0.6661  6 Rh 2.59-2.60
Rh 0.0787 0.5841 0.5841  2 Cu 2.59-2.60, 5 Rh 2.62-2.68
Rh 0.4159 0.4159 0.9213  2 Cu 2.59-2.60, 5 Rh 2.62-2.68
Rh 0.4159 0.9213 0.4159  2 Cu 2.59-2.60, 5 Rh 2.62-2.68
Rh 0.5000 0.5000 0.5000  6 Rh 2.65
Rh 0.5841 0.0787 0.5841  2 Cu 2.59-2.60, 5 Rh 2.62-2.68
Rh 0.5841 0.5841 0.0787  2 Cu 2.59-2.60, 5 Rh 2.62-2.68
Rh 0.9213 0.4159 0.4159  2 Cu 2.59-2.60, 5 Rh 2.62-2.68

[6]
Compound: YCu2Rh
Source: Alexandria
Functional: PBE-GGA
Structure: relaxed

Formation enthalpy at 0 K: -0.2872 eV/atom
Total magnetization: 0.00 μB/cell
Space-group type: I-4m2 (119)
DOS at the Fermi energy: 1.28 states/eV/cell
Energy above the most stable polymorph in this dataset: 58 meV per atom
E_tot: -5.789 eV per atom

abc: 4.9043 4.9043 4.9043
angles: 131.11 131.11 71.64
Closest atoms and distances in Å follow each position.
Atoms (fractional coordinates):
Y 0.0000 0.0000 0.0000  4 Rh 2.84, 8 Cu 2.84-2.87
Cu 0.5000 0.5000 0.0000  4 Rh 2.84, 4 Cu 2.84, 4 Y 2.87
Cu 0.7500 0.2500 0.5000  4 Cu 2.84, 4 Y 2.84, 4 Rh 2.87
Rh 0.2500 0.7500 0.5000  8 Cu 2.84-2.87, 4 Y 2.84

[7]
Compound: YCu3Rh
Source: Alexandria
Functional: PBE-GGA
Structure: relaxed

Formation enthalpy at 0 K: 0.3294 eV/atom
Total magnetization: 0.00 μB/cell
Space-group type: Pm-3m (221)
DOS at the Fermi energy: 2.26 states/eV/cell
Energy above the most stable polymorph in this dataset: 0 meV per atom
E_tot: -4.891 eV per atom

abc: 4.6289 4.6289 4.6289
angles: 90.00 90.00 90.00
Closest atoms and distances in Å follow each position.
Atoms (fractional coordinates):
Y 0.0000 0.0000 0.0000  12 Cu 3.27
Cu 0.0000 0.5000 0.5000  2 Rh 2.31
Cu 0.5000 0.0000 0.5000  2 Rh 2.31
Cu 0.5000 0.5000 0.0000  2 Rh 2.31
Rh 0.5000 0.5000 0.5000  6 Cu 2.31

[8]
Compound: Y7Cu2Rh2
Source: Alexandria
Functional: PBE-GGA
Structure: relaxed

Formation enthalpy at 0 K: -0.2370 eV/atom
Total magnetization: 0.00 μB/cell
Space-group type: Cmmm (65)
DOS at the Fermi energy: 11.41 states/eV/cell
E_tot: -6.432 eV per atom

abc: 6.6096 6.6096 7.0818
angles: 90.00 90.00 109.84
Closest atoms and distances in Å follow each position.
Atoms (fractional coordinates):
Y 0.0000 0.0000 0.0000  2 Rh 3.18
Y 0.0000 0.5000 0.2652  2 Rh 2.71
Y 0.0000 0.5000 0.7348  2 Rh 2.71
Y 0.5000 0.0000 0.2652  2 Rh 2.71
Y 0.5000 0.0000 0.7348  2 Rh 2.71
Y 0.5000 0.5000 0.2586  2 Rh 2.89, 2 Cu 3.03
Y 0.5000 0.5000 0.7414  2 Rh 2.89, 2 Cu 3.03
Cu 0.1709 0.1709 0.5000  1 Cu 2.60
Cu 0.8291 0.8291 0.5000  1 Cu 2.60
Rh 0.2936 0.7064 0.0000  6 Y 2.71-2.89
Rh 0.7064 0.2936 0.0000  6 Y 2.71-2.89

[9]
Compound: Y2Cu2Rh
Source: Alexandria
Functional: PBE-GGA
Structure: relaxed

Formation enthalpy at 0 K: -0.3415 eV/atom
Total magnetization: 0.00 μB/cell
Space-group type: P4/mbm (127)
DOS at the Fermi energy: 6.95 states/eV/cell
Energy above the most stable polymorph in this dataset: 96 meV per atom
E_tot: -6.036 eV per atom

abc: 7.0409 7.0409 3.9108
angles: 90.00 90.00 90.00
Closest atoms and distances in Å follow each position.
Atoms (fractional coordinates):
Y 0.1854 0.3146 0.0000  6 Cu 2.75-2.94
Y 0.3146 0.8146 0.0000  6 Cu 2.75-2.94
Y 0.6854 0.1854 0.0000  6 Cu 2.75-2.94
Y 0.8146 0.6854 0.0000  6 Cu 2.75-2.94
Cu 0.1200 0.6200 0.5000  1 Cu 2.39
Cu 0.3800 0.1200 0.5000  1 Cu 2.39
Cu 0.6200 0.8800 0.5000  1 Cu 2.39
Cu 0.8800 0.3800 0.5000  1 Cu 2.39
Rh 0.0000 0.0000 0.5000  4 Cu 2.81
Rh 0.5000 0.5000 0.5000  4 Cu 2.81

[10]
Compound: YCuRh
Source: Alexandria
Functional: PBE-GGA
Structure: relaxed

Formation enthalpy at 0 K: -0.2301 eV/atom
Total magnetization: 0.00 μB/cell
Space-group type: F-43m (216)
DOS at the Fermi energy: 2.51 states/eV/cell
E_tot: -6.201 eV per atom

abc: 4.4668 4.4668 4.4668
angles: 60.00 60.00 60.00
Closest atoms and distances in Å follow each position.
Atoms (fractional coordinates):
Y 0.0000 0.0000 0.0000  4 Rh 2.74
Cu 0.5000 0.5000 0.5000  4 Rh 2.74
Rh 0.2500 0.2500 0.2500  4 Cu 2.74, 4 Y 2.74

[11]
Compound: Y2CuRh2
Source: Alexandria
Functional: PBE-GGA
Structure: relaxed

Formation enthalpy at 0 K: -0.6647 eV/atom
Total magnetization: 0.00 μB/cell
Space-group type: Immm (71)
DOS at the Fermi energy: 2.66 states/eV/cell
Energy above the most stable polymorph in this dataset: 0 meV per atom
E_tot: -7.010 eV per atom

abc: 5.4234 5.4234 5.4234
angles: 134.90 114.86 82.75
Closest atoms and distances in Å follow each position.
Atoms (fractional coordinates):
Y 0.2053 0.2053 0.0000  6 Rh 2.86-3.00, 2 Cu 3.17
Y 0.7947 0.7947 0.0000  6 Rh 2.86-3.00, 2 Cu 3.17
Cu 0.5000 0.0000 0.5000  4 Rh 2.60
Rh 0.2337 0.5000 0.7337  2 Cu 2.60, 1 Rh 2.73, 2 Y 2.86
Rh 0.7663 0.5000 0.2663  2 Cu 2.60, 1 Rh 2.73, 2 Y 2.86

[12]
Compound: YCuRh
Source: Alexandria
Functional: PBE-GGA
Structure: relaxed

Formation enthalpy at 0 K: -0.5432 eV/atom
Total magnetization: 0.00 μB/cell
Space-group type: Cmcm (63)
DOS at the Fermi energy: 2.51 states/eV/cell
E_tot: -6.514 eV per atom

abc: 5.2942 5.2942 5.3807
angles: 90.00 90.00 133.25
Closest atoms and distances in Å follow each position.
Atoms (fractional coordinates):
Y 0.2028 0.7972 0.7500  5 Rh 2.85-2.91, 6 Cu 3.18-3.19
Y 0.7972 0.2028 0.2500  5 Rh 2.85-2.91, 6 Cu 3.18-3.19
Cu 0.5000 0.5000 0.0000  4 Rh 2.64, 2 Cu 2.69
Cu 0.5000 0.5000 0.5000  4 Rh 2.64, 2 Cu 2.69
Rh 0.0903 0.9097 0.2500  4 Cu 2.64, 5 Y 2.85-2.91
Rh 0.9097 0.0903 0.7500  4 Cu 2.64, 5 Y 2.85-2.91